! GGA-PBE TbGaNi4, relaxed; values from VASP
! - Total magnetic moment: 0.0 Bohr magnetons per cell
! - Raw total energy: -32.71 eV/f.u.
! - Energy of formation from the pure elements: -7.40 kcal/mol of atoms
&SYSTEM
  ibrav = 0, nat = 12, ntyp = 3
/
ATOMIC_SPECIES
Ni 58.69 Ni.upf
Ga 69.72 Ga.upf
Tb 158.93 Tb.upf
ATOMIC_POSITIONS crystal
Ni 0.666 0.553 0.331
Ni 0.922 0.250 0.845
Ni 0.078 0.750 0.155
Ni 0.500 0.500 0.000
Ni 0.334 0.053 0.669
Ni 0.666 0.947 0.331
Ni 0.334 0.447 0.669
Ni 0.500 0.000 0.000
Ga 0.766 0.250 0.532
Ga 0.234 0.750 0.468
Tb 0.101 0.250 0.202
Tb 0.899 0.750 0.798
CELL_PARAMETERS angstrom
-0.325 -1.760 3.371
5.606 -1.978 -0.493
2.668 7.110 1.809

=====

! GGA-PBE Sc2Al2Ni5Sn, relaxed; values from VASP
! - Total magnetic moment: 0.0 Bohr magnetons per cell
! - Raw total energy: -57.40 eV/f.u.
! - Energy of formation from the pure elements: -10.02 kcal/mol of atoms
&SYSTEM
  ibrav = 0, nat = 20, ntyp = 4
/
ATOMIC_SPECIES
Sc 44.96 Sc.upf
Al 26.98 Al.upf
Ni 58.69 Ni.upf
Sn 118.71 Sn.upf
ATOMIC_POSITIONS crystal
Sc 0.000 0.679 0.179
Sc 0.000 0.321 0.821
Sc 0.000 0.179 0.321
Sc 0.000 0.821 0.679
Al 0.000 0.116 0.616
Al 0.000 0.384 0.116
Al 0.000 0.616 0.884
Al 0.000 0.884 0.384
Ni 0.500 0.565 0.713
Ni 0.500 0.287 0.565
Ni 0.500 0.500 0.000
Ni 0.500 0.935 0.213
Ni 0.500 0.713 0.435
Ni 0.500 0.065 0.787
Ni 0.500 0.213 0.065
Ni 0.500 0.000 0.500
Ni 0.500 0.787 0.935
Ni 0.500 0.435 0.287
Sn 0.000 0.500 0.500
Sn 0.000 0.000 0.000
CELL_PARAMETERS angstrom
-2.859 -1.485 -1.324
5.221 -4.667 -6.039
0.801 -6.941 6.057

=====

Copy entry 2 word for word.
! GGA-PBE Sc2Al2Ni5Sn, relaxed; values from VASP
! - Total magnetic moment: 0.0 Bohr magnetons per cell
! - Raw total energy: -57.40 eV/f.u.
! - Energy of formation from the pure elements: -10.02 kcal/mol of atoms
&SYSTEM
  ibrav = 0, nat = 20, ntyp = 4
/
ATOMIC_SPECIES
Sc 44.96 Sc.upf
Al 26.98 Al.upf
Ni 58.69 Ni.upf
Sn 118.71 Sn.upf
ATOMIC_POSITIONS crystal
Sc 0.000 0.679 0.179
Sc 0.000 0.321 0.821
Sc 0.000 0.179 0.321
Sc 0.000 0.821 0.679
Al 0.000 0.116 0.616
Al 0.000 0.384 0.116
Al 0.000 0.616 0.884
Al 0.000 0.884 0.384
Ni 0.500 0.565 0.713
Ni 0.500 0.287 0.565
Ni 0.500 0.500 0.000
Ni 0.500 0.935 0.213
Ni 0.500 0.713 0.435
Ni 0.500 0.065 0.787
Ni 0.500 0.213 0.065
Ni 0.500 0.000 0.500
Ni 0.500 0.787 0.935
Ni 0.500 0.435 0.287
Sn 0.000 0.500 0.500
Sn 0.000 0.000 0.000
CELL_PARAMETERS angstrom
-2.859 -1.485 -1.324
5.221 -4.667 -6.039
0.801 -6.941 6.057